1.
NaAcRuO5, optimized geometry, DFT PBE-GGA; size of the total moment = 2.01 μB per formula unit; symmetry = C2/c (15); calculated total energy = -6.6325 eV per atom
1.0
-5.949 2.800 0.376
0.069 -6.164 -2.317
1.548 -1.429 8.215
Ac O Na Ru
2 10 2 2
Cartesian
0.000 0.000 0.000
0.774 -0.714 4.107
-3.836 -1.810 2.481
-4.275 0.966 6.308
-0.057 -5.758 -0.034
-3.394 1.038 2.864
-0.496 -2.982 3.792
-5.351 0.305 0.931
-2.586 -0.308 0.274
1.019 -5.098 5.343
-0.937 -5.830 3.410
-1.746 -4.484 6.000
-3.079 -0.817 5.772
-1.253 -3.976 0.501
-0.575 -4.547 4.652
-3.757 -0.245 1.622

***

2.
NaAc2SO8, optimized geometry, DFT PBE-GGA; size of the total moment = 3.04 μB per formula unit; symmetry = P-3m1 (164); calculated total energy = -6.1182 eV per atom
1.0
5.276 0.000 0.000
-2.638 4.569 0.000
0.000 0.000 7.375
O Ac Na S
8 2 1 1
Cartesian
0.000 3.046 3.633
2.638 3.204 6.411
0.000 1.364 0.964
-1.456 3.887 0.964
1.181 0.682 6.411
2.638 1.523 3.742
1.456 3.887 0.964
4.094 0.682 6.411
2.638 1.523 1.318
0.000 3.046 6.057
0.000 0.000 3.688
0.000 0.000 0.000

***

3.
NaAcSO6, optimized geometry, DFT PBE-GGA; size of the total moment = 2.00 μB per formula unit; symmetry = P312 (149); calculated total energy = -5.8666 eV per atom
1.0
-0.965 0.929 -5.238
1.737 -3.503 -3.732
-4.238 -2.466 0.343
Na O Ac S
1 6 1 1
Cartesian
-1.604 -2.949 -5.809
-1.712 -0.517 -3.305
-0.819 -1.807 -1.566
-2.946 -2.301 -4.050
-0.588 -2.514 -3.787
-2.004 -3.690 -2.417
-3.101 -1.719 -1.787
-3.465 -5.040 -8.627
-1.861 -2.091 -2.819

***

Which N(E_F) belongs to each record? In order, 3.17 6.81 5.67 states/eV/cell.